Record 1
Sc2CdBr PBE optimized geometry; total magnetic moment = 0.41 μB per formula unit; crystal system = tetragonal
1.0
5.283 0.000 0.000
0.000 3.416 -0.004
0.000 0.005 5.283
Br Cd Sc
1 1 2
Cartesian
0.000 0.854 1.980
2.641 2.566 4.620
0.000 0.862 4.622
2.641 0.853 1.981


Record 2
ScCdBr PBE optimized geometry; total magnetic moment = 1.30 μB per formula unit; crystal system = cubic
1.0
4.922 0.000 0.000
2.461 4.263 0.000
2.461 1.421 4.019
Br Cd Sc
1 1 1
Cartesian
0.000 0.000 0.000
4.922 2.842 2.009
2.461 1.421 1.005


Computed distance to the lowest polymorph of the same formula, in the same sequence as the records: 0.027, 0.561 eV/atom.